Compound: HfReAu3
Source: the Alexandria database
Functional: PBE-GGA
Structure: optimized geometry

Results
ΔH_f (0 K) (eV per atom): 1.629
DOS at the Fermi energy (states/eV/f.u.): 2.65
Space group: No. 221
Calculated density (g/cm3): 11.5

Unit cell a=5.166 b=5.166 c=5.166 alpha=90.00 beta=90.00 gamma=90.00
Each line ends with the local moment (μB).
Fractional coordinates of all 5 atoms:
Re  0.500  0.500  0.500  4.00
Au  0.000  0.000  0.500  0.08
Hf  0.000  0.000  0.000  -0.17
Au  0.000  0.500  0.000  0.02
Au  0.500  0.000  0.000  0.05